1.
Below is an optimized crystal structure of Na2TlTe2, with properties calculated at the GGA-PBE level.

Values from the calculation:
final energy: -0.1030 hartree per atom

a b c (Å): 7.1489 8.1535 8.1320
angles (deg): 120.09 116.08 90.00
Closest atoms and distances in Å follow each position.
Positions (direct):
Tl1 0.7500 0.5000 0.0000  4 Te 3.12
Tl2 0.2500 0.5000 0.0000  4 Te 3.12
Na1 0.3725 0.0119 0.7449  3 Te 3.11-3.22
Na2 0.8725 0.7330 0.7449  3 Te 3.11-3.22
Na3 0.1275 0.2670 0.2551  3 Te 3.11-3.22
Na4 0.6275 0.9881 0.2551  3 Te 3.11-3.22
Te1 0.8727 0.1229 0.7454  3 Na 3.11-3.22, 2 Tl 3.12
Te2 0.6273 0.3775 0.2546  3 Na 3.11-3.22, 2 Tl 3.12
Te3 0.1273 0.8771 0.2546  3 Na 3.11-3.22, 2 Tl 3.12
Te4 0.3727 0.6225 0.7454  3 Na 3.11-3.22, 2 Tl 3.12

2.
Below is an optimized crystal structure of NaTl3Te2, with properties calculated at the GGA-PBE level.

Values from the calculation:
final energy: -0.1059 hartree per atom

a b c (Å): 4.8009 9.3066 11.5658
angles (deg): 72.11 78.02 75.05
Closest atoms and distances in Å follow each position.
Positions (direct):
Na1 0.5783 0.5114 0.3321  4 Te 3.09-3.16
Na2 0.4217 0.4886 0.6679  4 Te 3.09-3.16
Tl1 0.6611 0.7176 0.9602  3 Te 3.25-3.29, 1 Tl 3.59
Tl2 0.2281 0.1746 0.3691  3 Te 3.26-3.34, 1 Tl 3.59
Tl3 0.9304 0.9001 0.2391  3 Te 3.25-3.31
Tl4 0.0696 0.0999 0.7609  3 Te 3.25-3.31
Tl5 0.7719 0.8254 0.6309  3 Te 3.26-3.34, 1 Tl 3.59
Tl6 0.3389 0.2824 0.0398  3 Te 3.25-3.29, 1 Tl 3.59
Te1 0.3826 0.7892 0.4456  2 Na 3.10-3.16, 5 Tl 3.26-3.34
Te2 0.6174 0.2108 0.5544  2 Na 3.10-3.16, 5 Tl 3.26-3.34
Te3 0.8680 0.4172 0.8468  2 Na 3.09, 4 Tl 3.25-3.29
Te4 0.1320 0.5828 0.1532  2 Na 3.09, 4 Tl 3.25-3.29

Record-wise energy relative to the elements, uncorrected values, in eV per atom: -0.55, -0.43
Record-wise energy relative to the lowest polymorph listed for this composition values, in meV/atom: 42.0, 0.0